Below is a relaxed DyB2Rh5 crystal, with properties calculated at the PBE level.

* V: 13.8 Å³/atom
* ΔH_f (0 K): -45.5 kJ/mol of atoms
* VASP energy: -7.311 eV per atom
* symmetry: Immm (71)
* DOS(E_F): 0.76 states/eV/atom

Unit cell a=3.8751 b=6.0300 c=6.0300 alpha=57.69 beta=71.26 gamma=71.26
With the nearest neighbours (Å) after each atom.
Positions (direct):
Rh (0.6507, 0.1237, 0.5749)  1 B 2.09
Rh (0.6507, 0.5749, 0.1237)  1 B 2.09
Rh (0.0000, 0.5000, 0.5000)  2 B 2.09
Rh (0.3493, 0.4251, 0.8763)  1 B 2.09
Rh (0.3493, 0.8763, 0.4251)  1 B 2.09
B (0.7875, 0.7125, 0.7125)  3 Rh 2.09
B (0.2125, 0.2875, 0.2875)  3 Rh 2.09
Dy (0.0000, 0.0000, 0.0000)  10 Rh 2.91